No. 1
Li3Al after structural relaxation. Source: Alexandria via LeMat-Bulk, functional PBEsol. Values from VASP.

- Symmetry: No. 44
- DFT total energy: -2.585 eV per atom
- ΔE_f: -0.087 eV/atom

Quantum ESPRESSO input file:
```
&SYSTEM
  ibrav = 0, nat = 4, ntyp = 2
/
ATOMIC_SPECIES
Li 6.94 Li.upf
Al 26.98 Al.upf
CELL_PARAMETERS angstrom
-1.325 -2.476 -1.265
4.085 -1.290 -1.752
-0.517 -0.505 5.281
ATOMIC_POSITIONS angstrom
Li -0.568 -2.348 1.442
Li 1.045 -1.778 -1.365
Li 2.119 -1.705 1.120
Al 3.750 -1.184 -1.608
```

No. 2
Tl2SiMo after structural relaxation. Source: Alexandria via LeMat-Bulk, functional PBEsol. Values from VASP.

- Symmetry: No. 119
- Formation energy without anion corrections: 756 meV per atom
- DFT total energy: -4.938 eV per atom
- Energy above the lowest structure with this stoichiometry: 0.417 eV per atom

Quantum ESPRESSO input file:
```
&SYSTEM
  ibrav = 0, nat = 4, ntyp = 3
/
ATOMIC_SPECIES
Tl 204.38 Tl.upf
Mo 95.94 Mo.upf
Si 28.09 Si.upf
CELL_PARAMETERS angstrom
-1.706 3.487 1.570
1.541 -0.947 3.777
3.748 0.946 -3.614
ATOMIC_POSITIONS angstrom
Tl 0.980 2.852 0.315
Tl 0.000 0.000 0.000
Mo -0.082 1.270 2.674
Si 2.604 0.635 1.418
```

No. 3
La2YBe after structural relaxation. Source: Alexandria via LeMat-Bulk, functional PBEsol. Values from VASP.

- Symmetry: No. 139
- DFT total energy: -5.143 eV per atom
- ΔE_f: 0.235 eV/atom

Quantum ESPRESSO input file:
```
&SYSTEM
  ibrav = 0, nat = 4, ntyp = 3
/
ATOMIC_SPECIES
Y 88.91 Y.upf
La 138.91 La.upf
Be 9.01 Be.upf
CELL_PARAMETERS angstrom
-3.099 -3.278 1.050
3.001 -1.881 2.984
-1.714 5.379 1.522
ATOMIC_POSITIONS angstrom
Y -0.049 -2.580 2.017
La -2.431 -0.240 2.294
La 0.619 0.459 3.261
Be 0.000 0.000 0.000
```

No. 4
IrRhW after structural relaxation. Source: Alexandria via LeMat-Bulk, functional PBEsol. Values from VASP.

- Symmetry: No. 156
- DFT total energy: -10.703 eV per atom
- ΔE_f: -0.114 eV/atom
- Energy above the lowest structure with this stoichiometry: 0.115 eV per atom

Quantum ESPRESSO input file:
```
&SYSTEM
  ibrav = 0, nat = 3, ntyp = 3
/
ATOMIC_SPECIES
Rh 102.91 Rh.upf
W 183.84 W.upf
Ir 192.22 Ir.upf
CELL_PARAMETERS angstrom
2.730 0.000 0.000
-1.365 2.364 0.000
0.000 0.000 6.697
ATOMIC_POSITIONS angstrom
Rh 0.000 1.576 4.422
W 1.365 0.788 2.235
Ir 0.000 0.000 0.040
```

No. 5
PWSe2 after structural relaxation. Source: Alexandria via LeMat-Bulk, functional PBEsol. Values from VASP.

- Symmetry: No. 99
- Formation energy without anion corrections: 15 meV per atom
- DFT total energy: -6.810 eV per atom

Quantum ESPRESSO input file:
```
&SYSTEM
  ibrav = 0, nat = 4, ntyp = 3
/
ATOMIC_SPECIES
Se 78.96 Se.upf
P 30.97 P.upf
W 183.84 W.upf
CELL_PARAMETERS angstrom
-2.930 0.812 -0.831
0.055 -2.155 -2.300
-2.578 -4.782 4.419
ATOMIC_POSITIONS angstrom
Se -2.367 -4.391 4.057
Se -2.255 -2.187 -0.164
P -3.300 -4.125 1.627
W -1.399 -2.594 2.397
```

No. 6
BaZrAs2 after structural relaxation. Source: Alexandria via LeMat-Bulk, functional PBEsol. Values from VASP.

- Symmetry: No. 119
- DFT total energy: -5.661 eV per atom
- ΔE_f: -0.298 eV/atom
- Energy above the lowest structure with this stoichiometry: 0.803 eV per atom

Quantum ESPRESSO input file:
```
&SYSTEM
  ibrav = 0, nat = 4, ntyp = 3
/
ATOMIC_SPECIES
As 74.92 As.upf
Zr 91.22 Zr.upf
Ba 137.33 Ba.upf
CELL_PARAMETERS angstrom
-0.036 -0.746 -4.217
-3.911 -1.713 0.337
-0.171 5.965 1.122
ATOMIC_POSITIONS angstrom
As -1.091 1.995 -2.518
As 0.000 0.000 0.000
Zr -3.028 1.511 -0.241
Ba -1.974 -1.230 -1.940
```

No. 7
YTl2In after structural relaxation. Source: Alexandria via LeMat-Bulk, functional PBEsol. Values from VASP.

- Symmetry: No. 119
- DFT total energy: -4.078 eV per atom
- ΔE_f: -0.312 eV/atom

Quantum ESPRESSO input file:
```
&SYSTEM
  ibrav = 0, nat = 4, ntyp = 3
/
ATOMIC_SPECIES
Y 88.91 Y.upf
Tl 204.38 Tl.upf
In 114.82 In.upf
CELL_PARAMETERS angstrom
4.463 0.000 0.000
0.000 4.463 0.000
-2.232 -2.232 5.048
ATOMIC_POSITIONS angstrom
Y 2.232 2.232 0.000
Tl 0.000 0.000 0.000
Tl 2.232 0.000 2.524
In 0.000 2.232 2.524
```

No. 8
TaP7 after structural relaxation. Source: Alexandria via LeMat-Bulk, functional PBEsol. Values from VASP.

- Symmetry: No. 225
- DFT total energy: -6.176 eV per atom
- ΔE_f: 0.461 eV/atom

Quantum ESPRESSO input file:
```
&SYSTEM
  ibrav = 0, nat = 8, ntyp = 2
/
ATOMIC_SPECIES
P 30.97 P.upf
Ta 180.95 Ta.upf
CELL_PARAMETERS angstrom
-2.365 1.421 -4.665
-5.384 -0.335 -0.521
-2.983 4.517 -0.260
ATOMIC_POSITIONS angstrom
P -5.366 2.802 -2.723
P -1.182 0.710 -2.333
P -2.674 2.969 -2.463
P -4.184 2.091 -0.391
P -3.874 0.543 -2.593
P -1.492 2.259 -0.130
P -2.692 -0.167 -0.260
Ta 0.000 0.000 0.000
```

No. 9
Na3AlS3 after structural relaxation. Source: Alexandria via LeMat-Bulk, functional PBEsol. Values from VASP.

- Symmetry: No. 14
- Formation energy without anion corrections: -1189 meV per atom
- DFT total energy: -4.253 eV per atom

Quantum ESPRESSO input file:
```
&SYSTEM
  ibrav = 0, nat = 56, ntyp = 3
/
ATOMIC_SPECIES
Na 22.99 Na.upf
Al 26.98 Al.upf
S 32.06 S.upf
CELL_PARAMETERS angstrom
7.603 0.000 -0.025
0.000 12.009 0.000
-2.145 0.000 13.410
ATOMIC_POSITIONS angstrom
Na 5.653 3.660 10.156
Na 3.297 2.837 7.028
Na -0.504 3.167 7.041
Na 5.971 1.050 4.897
Na 3.235 2.056 3.255
Na 4.024 6.180 2.598
Na 1.852 2.344 10.169
Na 5.235 0.176 10.775
Na 3.774 3.042 0.176
Na -0.028 2.962 0.188
Na 2.160 9.172 6.357
Na 2.223 9.953 10.130
Na 5.485 9.047 13.197
Na 5.961 8.842 6.345
Na 2.170 4.955 4.910
Na 0.222 11.833 2.610
Na 1.684 8.967 13.209
Na 7.036 3.948 3.243
Na 1.434 5.829 10.787
Na -0.514 10.959 8.488
Na 3.605 9.665 3.216
Na 3.287 7.054 8.475
Na -0.196 8.349 3.229
Na -1.579 8.061 10.142
Al 0.165 6.265 7.572
Al 1.491 0.260 5.826
Al 1.171 6.077 0.982
Al 5.292 5.744 5.813
Al 3.966 11.749 7.560
Al 0.484 0.073 12.416
Al 4.973 11.937 0.969
Al 4.286 5.932 12.403
S -0.366 10.298 11.411
S 4.452 9.786 8.438
S 0.650 8.228 8.451
S 3.435 7.716 11.399
S 5.396 1.323 8.181
S -1.036 5.932 12.098
S 3.421 4.000 11.748
S 1.832 0.401 8.103
S 5.837 10.005 1.624
S 2.022 4.293 1.986
S 2.692 11.937 1.300
S 6.493 6.077 1.287
S 2.765 0.073 12.085
S 4.807 3.782 4.934
S 5.634 5.604 8.090
S 0.061 10.687 5.204
S -0.380 2.005 11.761
S 1.595 4.682 8.193
S 3.625 11.609 5.283
S 1.006 2.223 4.947
S -0.177 6.405 5.295
S 2.036 8.009 1.637
S 5.824 1.712 1.974
S 3.862 7.327 5.192
```

No. 10
SrMgW2 after structural relaxation. Source: Alexandria via LeMat-Bulk, functional PBEsol. Values from VASP.

- Symmetry: No. 44
- DFT total energy: -6.839 eV per atom
- ΔE_f: 0.954 eV/atom

Quantum ESPRESSO input file:
```
&SYSTEM
  ibrav = 0, nat = 4, ntyp = 3
/
ATOMIC_SPECIES
W 183.84 W.upf
Mg 24.30 Mg.upf
Sr 87.62 Sr.upf
CELL_PARAMETERS angstrom
3.358 0.000 0.000
0.000 5.321 0.000
-1.679 -2.660 5.036
ATOMIC_POSITIONS angstrom
W 0.000 2.660 2.888
W 1.679 2.660 4.615
Mg 1.679 2.660 0.209
Sr 1.679 0.000 2.360
```

No. 11
TeSe after structural relaxation. Source: Alexandria via LeMat-Bulk, functional PBEsol. Values from VASP.

- Symmetry: No. 187
- Formation energy without anion corrections: 151 meV per atom
- DFT total energy: -3.537 eV per atom

Quantum ESPRESSO input file:
```
&SYSTEM
  ibrav = 0, nat = 2, ntyp = 2
/
ATOMIC_SPECIES
Te 127.60 Te.upf
Se 78.96 Se.upf
CELL_PARAMETERS angstrom
-3.498 0.190 -1.234
2.522 -1.989 -1.865
-0.974 -3.342 2.247
ATOMIC_POSITIONS angstrom
Te 0.028 -2.934 -0.531
Se 0.000 0.000 0.000
```

No. 12
TcNi2Te after structural relaxation. Source: Alexandria via LeMat-Bulk, functional PBEsol. Values from VASP.

- Symmetry: No. 71
- Formation energy without anion corrections: 340 meV per atom
- DFT total energy: -6.437 eV per atom

Quantum ESPRESSO input file:
```
&SYSTEM
  ibrav = 0, nat = 4, ntyp = 3
/
ATOMIC_SPECIES
Te 127.60 Te.upf
Ni 58.69 Ni.upf
Tc 98.00 Tc.upf
CELL_PARAMETERS angstrom
3.106 0.000 0.000
0.000 4.276 0.000
-1.553 -2.138 4.184
ATOMIC_POSITIONS angstrom
Te 0.000 2.138 0.000
Ni 0.000 0.000 2.203
Ni 1.553 2.138 1.982
Tc 1.553 0.000 0.000
```

> What is the DFT total energy in the fifth record?

-6.810 eV per atom

> Which formula does entry 1 have?

Li3Al

> What is the formula in the ninth record?

Na3AlS3